DFT (GGA+U) results for a relaxed structure of CdCoO2.

Calculated values
Crystal system   tetragonal
Final energy   -19.3 eV per cell

Structure (POSCAR):
```
CdCoO2
1.0
3.201 0.000 0.000
0.000 3.201 0.000
0.000 0.000 4.706
Cd Co O
1 1 2
Cartesian
0.000 0.000 0.000 Cd
1.601 1.601 2.353 Co
0.000 0.000 2.353 O
1.601 1.601 0.000 O
```